Record 1
# Pr3AlTl3Se8 PBE optimized geometry
# total magnetic moment = 0.000 μB/cell
# ΔE_f (raw) = -1.15 eV per atom
# E_tot = -140.7 eV per cell
data_Pr3AlTl3Se8
_chemical_formula_sum 'Pr6 Al2 Tl6 Se16'
_cell_length_a 14.7400
_cell_length_b 8.5087
_cell_length_c 9.0592
_cell_angle_alpha 90.00
_cell_angle_beta 122.94
_cell_angle_gamma 90.00
_space_group_name_H-M_alt 'C 1 2/m 1'
_space_group_IT_number 12
_space_group_name_Hall '-C 2y'
loop_
_atom_site_label
_atom_site_fract_x
_atom_site_fract_y
_atom_site_fract_z
Pr1 0.0000 0.0000 0.0000
Pr2 0.2500 0.2500 0.0000
Al1 0.0000 0.5000 0.0000
Tl1 0.0000 0.5000 0.5000
Tl2 0.2500 0.2500 0.5000
Se1 0.0083 0.2776 0.8026
Se2 0.2140 0.5000 0.1974
Se3 0.2395 0.0000 0.2181

---

Record 2
# AcDy7Ho12 PBE optimized geometry
# ΔE to the lowest computed polymorph = 443 meV/atom
# ΔH_f (0 K) = 0.6830 eV per atom
# total magnetic moment = 0.000 μB/cell
# E_tot = -155.2 eV per cell
data_AcDy7Ho12
_chemical_formula_sum 'Ac2 Dy14 Ho24'
_cell_length_a 11.2804
_cell_length_b 11.2804
_cell_length_c 11.2804
_cell_angle_alpha 90.00
_cell_angle_beta 90.00
_cell_angle_gamma 90.00
_space_group_name_H-M_alt 'I m -3'
_space_group_IT_number 204
_space_group_name_Hall '-I 2 2 3'
loop_
_atom_site_label
_atom_site_fract_x
_atom_site_fract_y
_atom_site_fract_z
Ac1 0.0000 0.0000 0.0000
Dy1 0.0000 0.0000 0.5000
Dy2 0.2500 0.2500 0.2500
Ho1 0.0000 0.2620 0.2627

---

Record 3
# NaAl3Tc PBE optimized geometry
# ΔE to the lowest computed polymorph = 0 meV/atom
# ΔH_f (0 K) = -0.0251 eV per atom
# total magnetic moment = 0.000 μB/cell
# E_tot = -23.0 eV per cell
data_NaAl3Tc
_chemical_formula_sum 'Na1 Al3 Tc1'
_cell_length_a 4.8075
_cell_length_b 4.8075
_cell_length_c 4.8075
_cell_angle_alpha 90.00
_cell_angle_beta 90.00
_cell_angle_gamma 90.00
_space_group_name_H-M_alt 'P m -3 m'
_space_group_IT_number 221
_space_group_name_Hall '-P 4 2 3'
loop_
_atom_site_label
_atom_site_fract_x
_atom_site_fract_y
_atom_site_fract_z
Na1 0.0000 0.0000 0.0000
Al1 0.0000 0.5000 0.5000
Tc1 0.5000 0.5000 0.5000

---

Question: Which of these has the lowest E_tot?
Answer: AcDy7Ho12

---

Repeat the first record exactly.
# Pr3AlTl3Se8 PBE optimized geometry
# total magnetic moment = 0.000 μB/cell
# ΔE_f (raw) = -1.15 eV per atom
# E_tot = -140.7 eV per cell
data_Pr3AlTl3Se8
_chemical_formula_sum 'Pr6 Al2 Tl6 Se16'
_cell_length_a 14.7400
_cell_length_b 8.5087
_cell_length_c 9.0592
_cell_angle_alpha 90.00
_cell_angle_beta 122.94
_cell_angle_gamma 90.00
_space_group_name_H-M_alt 'C 1 2/m 1'
_space_group_IT_number 12
_space_group_name_Hall '-C 2y'
loop_
_atom_site_label
_atom_site_fract_x
_atom_site_fract_y
_atom_site_fract_z
Pr1 0.0000 0.0000 0.0000
Pr2 0.2500 0.2500 0.0000
Al1 0.0000 0.5000 0.0000
Tl1 0.0000 0.5000 0.5000
Tl2 0.2500 0.2500 0.5000
Se1 0.0083 0.2776 0.8026
Se2 0.2140 0.5000 0.1974
Se3 0.2395 0.0000 0.2181

---

Question: Among the records above, which one has the lowest E_tot?
Answer: AcDy7Ho12

---

Repeat the third record exactly.
# NaAl3Tc PBE optimized geometry
# ΔE to the lowest computed polymorph = 0 meV/atom
# ΔH_f (0 K) = -0.0251 eV per atom
# total magnetic moment = 0.000 μB/cell
# E_tot = -23.0 eV per cell
data_NaAl3Tc
_chemical_formula_sum 'Na1 Al3 Tc1'
_cell_length_a 4.8075
_cell_length_b 4.8075
_cell_length_c 4.8075
_cell_angle_alpha 90.00
_cell_angle_beta 90.00
_cell_angle_gamma 90.00
_space_group_name_H-M_alt 'P m -3 m'
_space_group_IT_number 221
_space_group_name_Hall '-P 4 2 3'
loop_
_atom_site_label
_atom_site_fract_x
_atom_site_fract_y
_atom_site_fract_z
Na1 0.0000 0.0000 0.0000
Al1 0.0000 0.5000 0.5000
Tc1 0.5000 0.5000 0.5000